Record 1
Density functional theory data (PBE) for a relaxed structure of La5YMg2.

VASP energy: -4.282 eV/atom
Formation energy: 5 meV per atom
V: 268.0 Å³ per cell

a b c (Å): 7.0433 7.0433 7.0433
angles (deg): 107.54 107.54 113.41
Fractional coordinates of all 8 atoms:
La1 0.0000 0.0000 0.0000
La2 0.4990 0.4990 0.5001
La3 0.4990 0.9989 0.0000
La4 0.9989 0.4990 0.0000
La5 0.9989 0.9989 0.4999
Y1 0.4984 0.4984 0.0000
Mg1 0.4987 0.9987 0.5000
Mg2 0.9987 0.4987 0.5000

---

Record 2
Density functional theory data (PBE) for a relaxed structure of BaW2Au.

VASP energy: -7.057 eV/atom
Formation energy: 719 meV per atom
ΔE to the lowest computed polymorph: 0.205 eV/atom
V: 85.3 Å³ per cell

a b c (Å): 3.0161 3.0161 9.9957
angles (deg): 90.00 90.00 110.27
Fractional coordinates of all 4 atoms:
Ba1 0.0000 0.0000 0.0000
W1 0.0000 0.0000 0.4887
W2 0.5000 0.5000 0.2989
Au1 0.5000 0.5000 0.7121

---

Record 3
Density functional theory data (PBE) for a relaxed structure of NaTi2Pd2.

VASP energy: -5.387 eV/atom
Formation energy: 112 meV per atom
ΔE to the lowest computed polymorph: 0.372 eV/atom
V: 103.4 Å³ per cell

a b c (Å): 5.8809 5.8809 5.8809
angles (deg): 134.02 134.02 67.05
Fractional coordinates of all 5 atoms:
Na1 0.0000 0.0000 0.0000
Ti1 0.3638 0.3638 0.0000
Ti2 0.6362 0.6362 0.0000
Pd1 0.2500 0.7500 0.5000
Pd2 0.7500 0.2500 0.5000

---

Record 4
Density functional theory data (PBE) for a relaxed structure of TlIrPb2.

VASP energy: -4.138 eV/atom
Formation energy: 523 meV per atom
ΔE to the lowest computed polymorph: 0.335 eV/atom
V: 97.3 Å³ per cell

a b c (Å): 5.1804 5.1804 5.1804
angles (deg): 120.67 120.67 88.84
Fractional coordinates of all 4 atoms:
Tl1 0.0000 0.0000 0.0000
Ir1 0.2500 0.7500 0.5000
Pb1 0.5000 0.5000 0.0000
Pb2 0.7500 0.2500 0.5000

---

no.,D(E_F) (states/eV per cell)
1,10.774
2,4.179
3,4.196
4,3.027